{"formula": "Co2PdNF", "functional": "GGA+U", "state": "optimized geometry", "energy_ev_per_cell": -20.028, "mass_density_kg_m3": 6187, "crystal_system": "tetragonal", "lattice": [[-0.4611, 0.3923, -3.8704], [4.4114, -0.6620, -0.5927], [-0.6210, -3.8549, -0.3167]], "species": ["F", "Co", "N", "Pd", "Co"], "fractional_positions": [[0.0000, 0.0000, 0.0000], [0.5000, 0.0000, 0.0000], [0.5000, 0.5000, 0.5000], [0.0000, 0.5000, 0.0000], [0.0000, 0.0000, 0.5000]]}